Version i
The following is a PBE with a Hubbard U calculation of a relaxed structure of Li6FeO5F, from the Alexandria database.

Values from the calculation:
Total magnetic moment, μB/atom: 0.23
SG: P1

Structure (POSCAR):
```
Li6FeO5F
1.0
-3.1448 -4.3694 0.9472
-2.0007 -2.6337 -4.3611
2.2951 -4.9602 -1.2935
Li O Fe F
6 5 1 1
Cartesian
-2.3353 -7.3195 -1.0692
-3.0514 -4.7199 -1.5094
0.2770 -7.0487 -3.0670
-0.5807 -4.5721 -3.6646
-0.0419 -6.1089 -0.8515
-2.8346 -6.1164 -3.9001
-3.7422 -6.7318 -2.2526
0.8176 -5.2434 -2.4238
-0.3855 -7.9518 -1.4675
-0.9867 -6.4226 -4.4885
-2.5010 -4.1273 -3.3118
0.1458 -7.4841 -5.5237
-1.7403 -5.5941 -0.3150
```

Version ii
The following is a PBE with a Hubbard U calculation of a relaxed structure of Li6FeO5F, from the Alexandria database.

Values from the calculation:
Total magnetic moment, μB/atom: 0.23
SG: P1

Structure (POSCAR):
```
Li6FeO5F
1.0
0.5124 -5.2352 1.6228
-2.5611 3.6832 3.4158
-9.1599 -2.3510 -4.6911
Li O F Fe
12 10 2 2
Cartesian
-8.9767 -1.4867 0.7865
-4.7148 1.1766 2.6471
-4.1020 -1.4849 0.2032
-1.1749 -2.3874 1.9297
-2.1570 0.4869 2.5972
-8.1792 -4.1924 0.5152
-7.3869 -2.2541 -1.8605
-5.6865 -3.7547 -0.4525
-8.3454 -5.8017 -1.1642
-2.4470 -4.5415 1.5899
-3.6149 -1.7974 2.5408
-6.7430 -0.6519 0.0761
-3.0945 -0.7982 -1.3854
-1.8936 -1.3075 3.3513
-0.5810 -1.7533 0.1737
-1.2168 1.0180 0.9713
-5.5712 -1.8763 -1.0031
-8.4680 -0.8756 -0.9467
-2.9519 -2.8006 0.9724
-7.1684 -6.9677 -2.2134
-7.2096 -1.3033 1.8257
-6.4669 -3.9800 1.3507
-7.5419 -4.0910 -1.4052
-3.9262 -0.0986 1.5004
-9.1811 -2.3894 -4.6206
-6.6089 -2.7545 2.6680
```

The data favor version i; the next most stable structure lies 0.9 kJ/mol of atoms above it.

Version i
The following is a PBE with a Hubbard U calculation of a relaxed structure of LiVFeP2O8F2, from the Alexandria database.

Values from the calculation:
Total magnetic moment, μB/atom: 0.40
SG: P1

Structure (POSCAR):
```
LiVFeP2O8F2
1.0
5.5368 0.0887 0.1276
-0.7693 5.2527 -0.2997
-2.0579 -2.9682 7.4465
P O F Fe Li V
2 8 2 1 1 1
Cartesian
3.9812 1.0113 1.7707
-0.4328 1.4000 5.6990
1.9358 3.2595 4.2414
-1.5942 2.4491 5.5147
1.2571 3.9182 -0.0363
0.8322 3.7051 3.4599
4.3746 1.0712 0.1894
4.1742 2.4163 2.3214
-0.6452 0.1429 4.9021
1.5102 2.6349 0.2680
2.1629 0.5786 5.8552
-0.0885 0.0993 2.1131
-1.1866 3.6019 3.7427
1.8296 -0.5487 2.1562
1.9058 2.3723 5.8474
```

Version ii
The following is a PBE with a Hubbard U calculation of a relaxed structure of LiVFeP2O8F2, from the Alexandria database.

Values from the calculation:
Total magnetic moment, μB/atom: 0.40
SG: P1

Structure (POSCAR):
```
LiVFeP2O8F2
1.0
-4.9975 -0.2943 1.2314
1.9309 -0.6675 4.9451
1.1450 6.9553 -2.1838
F O P Fe V Li
2 8 2 1 1 1
Cartesian
-2.1252 4.4557 2.8145
0.2269 1.5294 1.2145
-2.2675 5.9174 -0.0140
-0.0088 6.1384 -1.0229
-0.4065 4.3084 0.6111
-1.8876 -0.1740 4.9227
0.4946 3.5137 3.2205
-2.4571 2.4311 0.8330
0.4601 0.2675 3.9663
-1.5728 1.6834 3.4074
-1.0635 5.0613 -0.5352
-0.8281 0.9355 4.5352
-0.9887 3.0317 1.9957
-1.9208 5.9634 3.9917
-3.3337 0.5478 3.5574
```

Version iii
The following is a PBE with a Hubbard U calculation of a relaxed structure of LiVFeP2O8F2, from the Alexandria database.

Values from the calculation:
Total magnetic moment, μB/atom: 0.40
SG: P1

Structure (POSCAR):
```
LiVFeP2O8F2
1.0
-3.4976 -4.1811 0.1080
3.1439 1.0458 3.6918
-7.1302 5.6767 0.5896
O F Fe V P Li
8 2 1 1 2 1
Cartesian
-6.3976 3.8872 2.6916
-2.9847 -0.2867 2.6458
-0.1167 -0.6073 1.7601
-8.5121 0.7226 0.9621
-4.0940 5.0979 3.2135
1.5078 1.6376 3.1029
-3.1974 -2.2007 0.9683
-4.2661 2.7931 2.1244
-0.9198 1.9395 3.0064
-5.4717 0.0250 1.3887
-4.6264 0.9480 2.8607
-10.4446 1.5639 0.6914
-4.7984 4.1902 2.2271
-3.0353 -1.7900 2.4316
-1.3938 0.1524 3.7390
```

The data favor version ii; the next most stable structure lies 21.4 kJ/mol of atoms above it.